# PBE-GGA KCa2Rh, relaxed
data_KCa2Rh
_space_group_name_H-M_alt 'I -4 m 2'
_space_group_IT_number 119
_space_group_name_Hall 'I -4 -2'
_cell_length_a 4.8367
_cell_length_b 4.8367
_cell_length_c 9.8270
_cell_angle_alpha 90.00
_cell_angle_beta 90.00
_cell_angle_gamma 90.00
loop_
_atom_site_label
_atom_site_type_symbol
_atom_site_fract_x
_atom_site_fract_y
_atom_site_fract_z
K1 K 0.0000 0.0000 0.0000
Ca1 Ca 0.0000 0.0000 0.5000
Ca2 Ca 0.0000 0.5000 0.2500
Rh1 Rh 0.0000 0.5000 0.7500
# - DOS at the Fermi energy (states/eV/f.u.) = 1.60
# - calculated volume (A^3/atom) = 28.736
# - excess energy over the best structure of this formula in the dataset (kJ per mole of atoms) = 44.6
# - VASP energy (eV per cell) = -22.462